# BaHo3Te4O12

A relaxed BaHo3Te4O12 crystal (GGA-PBE, Alexandria via LeMat-Bulk).

Computed properties:
- total magnetic moment (μB per formula unit) = 0.000
- calculated total energy (eV per atom) = -6.32
- E_form (uncorrected) (meV per atom) = -1932

CIF file:
```
data_BaHo3Te4O12
_space_group_name_H-M_alt 'P 1'
_space_group_IT_number 1
_space_group_name_Hall 'P 1'
_cell_length_a 7.345
_cell_length_b 7.345
_cell_length_c 7.345
_cell_angle_alpha 104.20
_cell_angle_beta 104.20
_cell_angle_gamma 104.20
loop_
_atom_site_label
_atom_site_type_symbol
_atom_site_fract_x
_atom_site_fract_y
_atom_site_fract_z
Ba1 Ba 0.000 0.000 0.000
Ho1 Ho 0.000 0.577 0.423
Ho2 Ho 0.423 0.000 0.577
Ho3 Ho 0.577 0.423 0.000
Te1 Te 0.099 0.500 0.901
Te2 Te 0.500 0.500 0.500
Te3 Te 0.500 0.901 0.099
Te4 Te 0.901 0.099 0.500
O1 O 0.044 0.280 0.372
O2 O 0.069 0.931 0.500
O3 O 0.280 0.372 0.044
O4 O 0.323 0.677 0.500
O5 O 0.372 0.044 0.280
O6 O 0.500 0.069 0.931
O7 O 0.500 0.323 0.677
O8 O 0.628 0.720 0.956
O9 O 0.677 0.500 0.323
O10 O 0.720 0.956 0.628
O11 O 0.931 0.500 0.069
O12 O 0.956 0.628 0.720
```